1.
A plane-wave DFT calculation with PBE was carried out for an optimized crystal structure of TiIN2O.

Results
formation energy from raw total energies: 1.6902 eV/atom
total energy: -4.521 eV per atom

Cell: 4.0150 4.0150 4.0844 Å, 90.00 90.00 90.00°
Closest atoms and distances in Å follow each position.
Space group P4/mmm (No. 123)
Symmetry-distinct sites (fractional):
Ti 0.0000 0.0000 0.0000 x1  4 I 2.84, 8 N 2.86
I 0.5000 0.5000 0.0000 x1  2 O 2.04
N 0.0000 0.5000 0.5000 x2  2 O 2.01
O 0.5000 0.5000 0.5000 x1  4 N 2.01, 2 I 2.04



2.
A plane-wave DFT calculation with PBE was carried out for an optimized crystal structure of DyU2Te5.

Results
formation energy from raw total energies: -0.0494 eV/atom
total energy: -5.410 eV per atom

Cell: 7.4512 7.4512 5.3040 Å, 90.00 90.00 90.00°
Closest atoms and distances in Å follow each position.
Space group P4/mmm (No. 123)
Symmetry-distinct sites (fractional):
Dy 0.0000 0.0000 0.0000 x1  6 Te 2.65-2.95
U 0.0000 0.5000 0.5000 x2  10 Te 3.73-3.75
Te 0.0000 0.0000 0.5000 x1  2 Dy 2.65
Te 0.2802 0.2802 0.0000 x4  1 Dy 2.95, 2 Te 3.28



3.
A plane-wave DFT calculation with PBE was carried out for an optimized crystal structure of Ca3Cu3Ag.

Results
energy of formation: -1.141 eV/f.u.
total energy: -3.184 eV per atom

Cell: 10.9177 4.2699 14.6477 Å, 90.00 109.69 90.00°
Closest atoms and distances in Å follow each position.
Space group C2/m (No. 12)
Symmetry-distinct sites (fractional):
Ca 0.0300 0.0000 0.3838 x4  6 Cu 3.03-3.17, 4 Ag 3.09-3.35
Ca 0.1075 0.0000 0.9243 x4  7 Cu 3.07-3.25
Ca 0.2442 0.0000 0.2297 x4  6 Cu 3.09-3.23, 2 Ag 3.25
Cu 0.0383 0.5000 0.2265 x4  1 Cu 2.47, 1 Ag 2.71
Cu 0.0951 0.5000 0.0769 x4  2 Cu 2.47-2.50
Cu 0.1184 0.5000 0.5390 x4  1 Cu 2.45, 2 Ag 2.62
Ag 0.2397 0.5000 0.3962 x4  4 Cu 2.62-2.83



4.
A plane-wave DFT calculation with PBE was carried out for an optimized crystal structure of Sr3SiAu3.

Results
formation energy from raw total energies: -0.6690 eV/atom
total energy: -3.569 eV per atom

Cell: 11.5222 4.4796 15.8563 Å, 90.00 110.43 90.00°
Closest atoms and distances in Å follow each position.
Space group C2/m (No. 12)
Symmetry-distinct sites (fractional):
Sr 0.0299 0.0000 0.3919 x4  7 Au 3.28-3.50, 4 Si 3.31-3.45
Sr 0.1001 0.0000 0.9190 x4  7 Au 3.27-3.41
Sr 0.2490 0.5000 0.7657 x4  6 Au 3.25-3.37, 2 Si 3.44
Si 0.2444 0.5000 0.3972 x4  3 Au 2.51-2.67
Au 0.0484 0.5000 0.2451 x4  1 Si 2.67
Au 0.1146 0.5000 0.0786 x4  2 Au 2.93-2.99, 1 Sr 3.27
Au 0.1606 0.5000 0.5472 x4  2 Si 2.51



5.
A plane-wave DFT calculation with PBE was carried out for an optimized crystal structure of KSn2Sb.

Results
formation energy from raw total energies: -0.1005 eV/atom
total energy: -3.407 eV per atom

Cell: 5.6734 11.9898 7.7553 Å, 90.00 90.00 90.00°
Closest atoms and distances in Å follow each position.
Space group Cmcm (No. 63)
Symmetry-distinct sites (fractional):
K 0.0000 0.0863 0.2500 x4  3 Sb 3.50-3.78, 6 Sn 3.71-3.81
Sn 0.0000 0.3774 0.0524 x8  2 Sn 3.05-3.07, 3 Sb 3.12-3.37
Sb 0.0000 0.2057 0.7500 x4  6 Sn 3.12-3.37



6.
A plane-wave DFT calculation with PBE was carried out for an optimized crystal structure of PrErThCd.

Results
energy relative to the lowest polymorph listed for this composition: 0.1930 eV/atom
energy of formation: 0.139 eV/f.u.
total energy: -4.385 eV per atom

Cell: 7.8394 7.8394 7.8394 Å, 90.00 90.00 90.00°
Closest atoms and distances in Å follow each position.
Space group F-43m (No. 216)
Symmetry-distinct sites (fractional):
Pr 0.0000 0.0000 0.0000 x4  4 Cd 3.39, 4 Er 3.39
Er 0.2500 0.2500 0.2500 x4  4 Th 3.39, 4 Pr 3.39
Th 0.0000 0.0000 0.5000 x4  4 Er 3.39, 4 Cd 3.39
Cd 0.2500 0.2500 0.7500 x4  4 Th 3.39, 4 Pr 3.39



| no. | density (g cm⁻³) |
| --- | --- |
| 1 | 5.5 |
| 2 | 7.2 |
| 3 | 4.3 |
| 4 | 7.6 |
| 5 | 5.0 |
| 6 | 9.0 |